# 1
The following is a PBE-GGA calculation of TlSeBr after structural relaxation, from Alexandria via LeMat-Bulk.

a b c (Å): 5.0272 4.1721 10.7472
angles (deg): 90.00 101.38 90.00
Closest atoms and distances in Å follow each position.
Atoms (fractional coordinates):
Tl (0.1755, 0.2500, 0.3286)  5 Br 3.17-3.30
Tl (0.8245, 0.7500, 0.6714)  5 Br 3.17-3.30
Se (0.4610, 0.7500, 0.9414)  2 Se 2.43
Se (0.5390, 0.2500, 0.0586)  2 Se 2.43
Br (0.3070, 0.2500, 0.6297)  5 Tl 3.17-3.30
Br (0.6930, 0.7500, 0.3703)  5 Tl 3.17-3.30

Results
**DFT total energy**: -2.973 eV/atom
**Formation energy without anion corrections**: -0.46 eV per atom
**D(E_F)**: 0.71 states/eV per cell
**Symmetry**: P2_1/m (11)



# 2
The following is a PBE-GGA calculation of Tl2SbBr6 after structural relaxation, from Alexandria via LeMat-Bulk.

a b c (Å): 7.5550 8.0691 12.9514
angles (deg): 90.00 124.74 90.00
Closest atoms and distances in Å follow each position.
Atoms (fractional coordinates):
Tl (0.2286, 0.0812, 0.2495)  8 Br 3.39-3.61
Tl (0.2286, 0.4188, 0.7495)  8 Br 3.39-3.61
Tl (0.7714, 0.5812, 0.2505)  8 Br 3.39-3.61
Tl (0.7714, 0.9188, 0.7505)  8 Br 3.39-3.61
Sb (0.5000, 0.0000, 0.0000)  6 Br 2.72-2.73
Sb (0.5000, 0.5000, 0.5000)  6 Br 2.72-2.73
Br (0.1723, 0.1916, 0.9645)  1 Sb 2.73
Br (0.1723, 0.3084, 0.4645)  1 Sb 2.73
Br (0.2744, 0.7191, 0.9697)  1 Sb 2.73
Br (0.2744, 0.7809, 0.4697)  1 Sb 2.73
Br (0.3182, 0.0072, 0.7487)  1 Sb 2.72
Br (0.3182, 0.4928, 0.2487)  1 Sb 2.72
Br (0.6818, 0.5072, 0.7513)  1 Sb 2.72
Br (0.6818, 0.9928, 0.2513)  1 Sb 2.72
Br (0.7256, 0.2191, 0.5303)  1 Sb 2.73
Br (0.7256, 0.2809, 0.0303)  1 Sb 2.73
Br (0.8277, 0.6916, 0.5355)  1 Sb 2.73
Br (0.8277, 0.8084, 0.0355)  1 Sb 2.73

Results
**Excess energy over the best structure of this formula in the dataset**: 0 meV per atom
**DFT total energy**: -2.761 eV/atom
**Formation energy without anion corrections**: -0.66 eV per atom
**D(E_F)**: 9.88 states/eV per cell
**Symmetry**: P2_1/c (14)



# 3
The following is a PBE-GGA calculation of BaCoPS2 after structural relaxation, from Alexandria via LeMat-Bulk.

a b c (Å): 4.9867 4.9867 4.1781
angles (deg): 90.00 90.00 90.00
Closest atoms and distances in Å follow each position.
Atoms (fractional coordinates):
Ba (0.0000, 0.0000, 0.0000)  8 S 3.25, 4 P 3.53
Co (0.5000, 0.5000, 0.5000)  2 P 2.09
P (0.5000, 0.5000, 0.0000)  2 Co 2.09
S (0.0000, 0.5000, 0.5000)  2 Co 2.49
S (0.5000, 0.0000, 0.5000)  2 Co 2.49

Results
**Excess energy over the best structure of this formula in the dataset**: 0 meV per atom
**DFT total energy**: -5.136 eV/atom
**Formation energy without anion corrections**: -0.60 eV per atom
**D(E_F)**: 4.01 states/eV per cell
**Symmetry**: P4/mmm (123)